VASP calculation (PBE-GGA) on a relaxed structure of BaPtSO.

- Space group: No. 61
- E above lowest polymorph: 0.042 eV per atom
- ρ: 7.45 g/cm3

Cell lengths 7.584, 8.635, 10.362 Å; angles 90.00, 90.00, 90.00 degrees
Fractional coordinates of all 32 atoms:
Ba: 0.767 0.119 0.034
Ba: 0.733 0.619 0.034
Ba: 0.267 0.119 0.466
Ba: 0.233 0.619 0.466
Ba: 0.767 0.381 0.534
Ba: 0.733 0.881 0.534
Ba: 0.267 0.381 0.966
Ba: 0.233 0.881 0.966
O: 0.745 0.369 0.165
O: 0.755 0.869 0.165
O: 0.245 0.369 0.335
O: 0.255 0.869 0.335
O: 0.745 0.131 0.665
O: 0.755 0.631 0.665
O: 0.245 0.131 0.835
O: 0.255 0.631 0.835
Pt: 0.997 0.371 0.249
Pt: 0.503 0.871 0.249
Pt: 0.497 0.371 0.251
Pt: 0.003 0.871 0.251
Pt: 0.997 0.129 0.749
Pt: 0.503 0.629 0.749
Pt: 0.497 0.129 0.751
Pt: 0.003 0.629 0.751
S: 0.415 0.121 0.171
S: 0.085 0.621 0.171
S: 0.915 0.121 0.329
S: 0.585 0.621 0.329
S: 0.415 0.379 0.671
S: 0.085 0.879 0.671
S: 0.915 0.379 0.829
S: 0.585 0.879 0.829